(1)
Compound: PrErCuTc
Source: the Alexandria database
Functional: PBE
Structure: optimized geometry

Unit cell a=4.9483 b=4.9483 c=4.9483 alpha=60.00 beta=60.00 gamma=60.00
Positions (direct):
Pr 0.0000 0.0000 0.0000
Tc 0.7500 0.7500 0.7500
Er 0.5000 0.5000 0.5000
Cu 0.2500 0.2500 0.2500

ΔE_f   0.00 eV per atom
Fermi-level density of states   4.1 states/eV/cell
Calculated volume   85.7 Å³ per cell

=====

(2)
Compound: Pr2ErCuTe5
Source: the Alexandria database
Functional: PBE
Structure: optimized geometry

Unit cell a=4.3263 b=9.7901 c=13.0369 alpha=90.00 beta=90.00 gamma=102.77
Positions (direct):
Er 0.8093 0.6185 0.5095
Er 0.1907 0.3815 0.0095
Te 0.2858 0.5715 0.6701
Te 0.9575 0.9151 0.5632
Te 0.5004 0.0007 0.7869
Te 0.0425 0.0849 0.0632
Te 0.6465 0.2929 0.4993
Te 0.3110 0.6220 0.3441
Te 0.7142 0.4285 0.1701
Te 0.3535 0.7071 0.9993
Te 0.4996 0.9993 0.2869
Te 0.6890 0.3780 0.8441
Pr 0.1245 0.2490 0.3063
Pr 0.1092 0.2183 0.6864
Pr 0.8755 0.7510 0.8063
Pr 0.8908 0.7817 0.1864
Cu 0.5722 0.1443 0.9583
Cu 0.4278 0.8557 0.4583

Fermi-level density of states   0.2 states/eV/cell
Calculated volume   538.5 Å³ per cell
E_form (uncorrected)   -10.91 eV per formula unit